1.
Entry from Alexandria via LeMat-Bulk: a relaxed Tb2Ni3Ge4Pt crystal (PBE-GGA).

Lattice parameters (Å, degrees): 4.132 4.132 9.812 90.00 90.00 90.00
Space group P-4m2 (No. 115)
Asymmetric unit:
Tb  0.000  0.500  0.245
Ni  0.000  0.500  0.879
Ni  0.500  0.500  0.500
Ge  0.000  0.000  0.000
Ge  0.000  0.500  0.642
Ge  0.500  0.500  0.000
Pt  0.000  0.000  0.500

Calculated values
Theoretical density   9.71 Mg/m³
ΔE_f   -751 meV per atom
D(E_F)   6.88 states/eV/cell
V   16.75 Å³/atom
Total moment   0.0 μB/f.u.

***

2.
Entry from Alexandria via LeMat-Bulk: a relaxed Tb2NiGe4Pt3 crystal (PBE-GGA).

Lattice parameters (Å, degrees): 4.228 4.228 10.290 90.00 90.00 90.00
Space group P-4m2 (No. 115)
Asymmetric unit:
Tb  0.000  0.500  0.240
Ni  0.500  0.500  0.000
Ge  0.000  0.000  0.500
Ge  0.000  0.500  0.874
Ge  0.500  0.500  0.500
Pt  0.000  0.000  0.000
Pt  0.000  0.500  0.636

Calculated values
Theoretical density   11.30 Mg/m³
ΔE_f   -838 meV per atom
D(E_F)   5.89 states/eV/cell
V   18.40 Å³/atom
Total moment   0.0 μB/f.u.

***

3.
Entry from Alexandria via LeMat-Bulk: a relaxed TbNiGePt3 crystal (PBE-GGA).

Lattice parameters (Å, degrees): 6.729 11.520 5.597 90.00 90.00 90.00
Space group Cmcm (No. 63)
Asymmetric unit:
Tb  0.000  0.207  0.250
Ni  0.000  0.430  0.250
Ge  0.000  0.134  0.750
Pt  0.000  0.342  0.750
Pt  0.213  0.000  0.000

Calculated values
Theoretical density   13.40 Mg/m³
ΔE_f   -533 meV per atom
D(E_F)   21.97 states/eV/cell
V   18.08 Å³/atom
Total moment   0.0 μB/f.u.

***

> Look up the D(E_F) of the third one.

21.97 states/eV/cell